Density functional theory data (PBEsol) for a relaxed structure of SmGa2Co3.

The structure in POSCAR format:
```
SmGa2Co3
1.0
-3.5494 0.5671 0.9707
-1.5149 -1.3089 -4.7746
0.4232 -3.6295 3.6677
Co Ga Sm
3 2 1
direct
0.5000 0.0000 0.5000
0.5000 0.5000 0.5000
0.5000 0.5000 0.0000
0.0000 0.3333 0.6667
0.0000 0.6667 0.3333
0.0000 0.0000 0.0000
```

For the formation energy, the calculation gives -36.5 kJ per mole of atoms. Its space group is P6/mmm. As for the electronic total energy: -37.254 eV per cell.

Density functional theory data (PBEsol) for a relaxed structure of TiIBrN2.

The structure in POSCAR format:
```
TiIBrN2
1.0
-1.1319 2.4665 -2.8699
1.4828 -2.4669 -2.7049
-5.5498 -2.9531 -0.3492
N Ti I Br
2 1 1 1
direct
0.0000 0.5000 0.0000
0.5000 0.0000 0.0000
0.5000 0.5000 0.5000
0.0000 0.0000 0.5000
0.0000 0.0000 0.0000
```

The excess energy over the best structure of this formula in the dataset comes out at 1.441 eV/atom. For the raw formation energy, the calculation gives 1.9100 eV/atom. Its space group is P4/mmm. As for the electronic total energy: -19.462 eV per cell.

Density functional theory data (PBEsol) for a relaxed structure of NaAgOs2O.

The structure in POSCAR format:
```
NaAgOs2O
1.0
3.7656 0.0000 0.0000
0.0000 4.7352 0.0000
0.0000 0.0000 4.7352
Na Os O Ag
1 2 1 1
direct
0.0000 0.0000 0.0000
0.0000 0.5000 0.0000
0.0000 0.0000 0.5000
0.5000 0.0000 0.0000
0.5000 0.5000 0.5000
```

For the raw formation energy, the calculation gives 2.6111 eV/atom. Its space group is P4/mmm. As for the electronic total energy: -21.337 eV per cell.

Density functional theory data (PBEsol) for a relaxed structure of TlCd2Sn2.

The structure in POSCAR format:
```
TlCd2Sn2
1.0
4.6851 0.0000 0.0000
0.0000 4.6851 0.0000
-2.3426 -2.3426 6.1994
Cd Tl Sn
2 1 2
direct
0.2500 0.7500 0.5000
0.7500 0.2500 0.5000
0.0000 0.0000 0.0000
0.3873 0.3873 0.7746
0.6127 0.6127 0.2254
```

The excess energy over the best structure of this formula in the dataset comes out at 0.000 eV/atom. For the formation energy, the calculation gives 5.6 kJ per mole of atoms. Its space group is I4/mmm. As for the electronic total energy: -13.252 eV per cell.

Density functional theory data (PBEsol) for a relaxed structure of Cd2CoTe.

The structure in POSCAR format:
```
Cd2CoTe
1.0
-0.8153 -3.3085 1.7063
2.5879 -2.3094 -3.2413
2.6496 1.2701 3.7287
Te Cd Co
1 2 1
direct
0.5000 0.5000 0.5000
0.0000 0.0000 0.5000
0.0000 0.5000 0.0000
0.5000 0.0000 0.0000
```

For the raw formation energy, the calculation gives 0.4021 eV/atom. Its space group is Cmmm. As for the electronic total energy: -12.049 eV per cell.

Density functional theory data (PBEsol) for a relaxed structure of Ga2HgTeOs.

The structure in POSCAR format:
```
Ga2HgTeOs
1.0
4.8165 0.0000 0.0000
0.0000 4.8165 0.0000
0.0000 0.0000 5.2259
Te Hg Ga Os
1 1 2 1
direct
0.5000 0.5000 0.5000
0.0000 0.0000 0.0000
0.0000 0.5000 0.0000
0.5000 0.0000 0.0000
0.0000 0.0000 0.5000
```

For the raw formation energy, the calculation gives 1.3039 eV/atom. Its space group is P4/mmm. As for the electronic total energy: -16.469 eV per cell.

The highest electronic total energy belongs to which entry?
Cd2CoTe